(1)
Compound: Ba2Pa3S8
Source: Alexandria via LeMat-Bulk
Functional: PBE-GGA
Structure: optimized geometry

The structure in POSCAR format:
```
Ba2Pa3S8
1.0
-5.026 4.535 -1.626
1.364 -1.383 -8.077
-3.638 -6.193 4.718
S Pa Ba
8 3 2
Direct
0.961 0.609 0.218
0.397 0.888 0.218
0.039 0.391 0.782
0.091 0.900 0.800
0.909 0.100 0.200
0.603 0.671 0.782
0.397 0.329 0.218
0.603 0.112 0.782
0.000 0.745 0.000
0.500 0.000 0.000
0.000 0.255 0.000
0.661 0.727 0.453
0.339 0.273 0.547
```

Output
energy above the most stable polymorph in this dataset = 0.0 kJ/mol of atoms
ΔE_f (raw) = -1.777 eV/atom
space-group type = No. 12



(2)
Compound: Ba2Pa3S8
Source: Alexandria via LeMat-Bulk
Functional: PBE-GGA
Structure: optimized geometry

The structure in POSCAR format:
```
Ba2Pa3S8
1.0
4.752 0.000 0.000
0.000 8.484 -4.873
0.000 -0.511 8.930
S Ba Pa
8 2 3
Direct
0.000 0.393 0.786
0.000 0.607 0.214
0.000 0.101 0.203
0.500 0.659 0.789
0.000 0.899 0.797
0.500 0.131 0.789
0.500 0.341 0.211
0.500 0.869 0.211
0.500 0.265 0.530
0.500 0.735 0.470
0.000 0.276 0.000
0.000 0.724 0.000
0.500 0.000 0.000
```

Output
energy above the most stable polymorph in this dataset = 3.4 kJ/mol of atoms
ΔE_f (raw) = -1.742 eV/atom
space-group type = No. 65



(3)
Compound: Ba5PaS8
Source: Alexandria via LeMat-Bulk
Functional: PBE-GGA
Structure: optimized geometry

The structure in POSCAR format:
```
Ba5PaS8
1.0
-1.446 5.849 -5.220
-6.146 -5.076 0.129
1.013 3.187 7.237
Ba S Pa
5 8 1
Direct
0.885 0.872 0.252
0.748 0.633 0.620
0.500 0.000 0.500
0.380 0.128 0.013
0.987 0.367 0.115
0.586 0.863 0.870
0.585 0.406 0.864
0.459 0.594 0.179
0.130 0.716 0.993
0.821 0.280 0.415
0.136 0.720 0.541
0.277 0.284 0.414
0.007 0.137 0.723
0.250 0.500 0.750
```

Output
ΔE_f (raw) = -1.806 eV/atom
space-group type = No. 82



(4)
Compound: BaPa2S4
Source: Alexandria via LeMat-Bulk
Functional: PBE-GGA
Structure: optimized geometry

The structure in POSCAR format:
```
BaPa2S4
1.0
4.076 0.000 0.000
-2.038 6.553 0.000
0.000 0.000 13.588
Ba S Pa
2 8 4
Direct
0.389 0.777 0.250
0.611 0.223 0.750
0.500 0.000 0.000
0.761 0.523 0.114
0.239 0.477 0.886
0.931 0.863 0.750
0.500 0.000 0.500
0.761 0.523 0.386
0.239 0.477 0.614
0.069 0.137 0.250
0.129 0.258 0.059
0.871 0.742 0.559
0.871 0.742 0.941
0.129 0.258 0.441
```

Output
ΔE_f (raw) = -1.708 eV/atom
space-group type = No. 63



(5)
Compound: BaPa2S7
Source: Alexandria via LeMat-Bulk
Functional: PBE-GGA
Structure: optimized geometry

The structure in POSCAR format:
```
BaPa2S7
1.0
5.198 0.000 0.000
0.000 7.607 0.119
0.000 -3.326 6.843
S Ba Pa
7 1 2
Direct
0.000 0.728 0.272
0.000 0.272 0.728
0.500 0.082 0.326
0.500 0.674 0.918
0.500 0.918 0.674
0.500 0.326 0.082
0.500 0.500 0.500
0.000 0.000 0.000
0.500 0.289 0.711
0.500 0.711 0.289
```

Output
ΔE_f (raw) = -1.399 eV/atom
space-group type = No. 65



(6)
Compound: Ba2PaS6
Source: Alexandria via LeMat-Bulk
Functional: PBE-GGA
Structure: optimized geometry

The structure in POSCAR format:
```
Ba2PaS6
1.0
6.916 0.000 0.000
0.000 6.916 0.000
0.000 0.000 13.696
Ba S Pa
4 12 2
Direct
0.000 0.000 0.330
0.500 0.500 0.830
0.500 0.500 0.170
0.000 0.000 0.670
0.682 0.682 0.360
0.318 0.318 0.640
0.267 0.267 0.000
0.818 0.182 0.140
0.182 0.818 0.860
0.733 0.733 0.000
0.182 0.818 0.140
0.682 0.682 0.640
0.767 0.233 0.500
0.318 0.318 0.360
0.233 0.767 0.500
0.818 0.182 0.860
0.000 0.000 0.000
0.500 0.500 0.500
```

Output
ΔE_f (raw) = -1.159 eV/atom
space-group type = No. 136